The following is a PBE calculation of an optimized crystal structure of TaBRu3, from Alexandria.

Summary:
For the energy of formation, the calculation gives -6 meV per atom. The total energy is -9.278 eV per atom. Its symmetry is R-3c (167).

Cell lengths 5.1318, 5.1318, 5.1318 Å; angles 91.75, 91.75, 91.75 degrees
Fractional positions:
Ta 0.0000 0.0000 0.0000
Ta 0.5000 0.5000 0.5000
B 0.2500 0.2500 0.2500
B 0.7500 0.7500 0.7500
Ru 0.0419 0.7500 0.4581
Ru 0.2500 0.5419 0.9581
Ru 0.4581 0.0419 0.7500
Ru 0.5419 0.9581 0.2500
Ru 0.7500 0.4581 0.0419
Ru 0.9581 0.2500 0.5419